1.
Density functional theory data (PBE) for a relaxed structure of TbYPu.

- Energy relative to the elements: 0.171 eV/atom
- Total moment: 6.589 μB per formula unit
- Final energy: -49.825 eV per cell

Structure (CIF):
```
data_TbYPu
_chemical_formula_sum 'Tb2 Y2 Pu2'
_cell_length_a 3.389
_cell_length_b 5.574
_cell_length_c 9.703
_cell_angle_alpha 90.00
_cell_angle_beta 90.00
_cell_angle_gamma 90.00
_symmetry_space_group_name_H-M 'P m m n'
_symmetry_Int_Tables_number 59
loop_
_symmetry_equiv_pos_as_xyz
'x,y,z'
'-x,-y,-z'
'-x+1/2,-y+1/2,z'
'x+1/2,y+1/2,-z'
'x+1/2,-y,-z'
'-x+1/2,y,z'
'-x,y+1/2,-z'
'x,-y+1/2,z'
loop_
_atom_site_label
_atom_site_fract_x
_atom_site_fract_y
_atom_site_fract_z
Tb1 0.250 0.250 0.066
Y1 0.250 0.750 0.599
Pu1 0.250 0.750 0.253
```

=====

2.
Density functional theory data (PBE) for a relaxed structure of SrLi4.

- Energy relative to the elements: 0.047 eV/atom
- Total moment: 0.000 μB per formula unit
- Final energy: -9.101 eV per cell

Structure (CIF):
```
data_SrLi4
_chemical_formula_sum 'Sr1 Li4'
_cell_length_a 5.593
_cell_length_b 5.653
_cell_length_c 5.694
_cell_angle_alpha 76.87
_cell_angle_beta 60.68
_cell_angle_gamma 62.33
_symmetry_space_group_name_H-M 'P -1'
_symmetry_Int_Tables_number 2
_symmetry_space_group_name_Hall '-P 1'
loop_
_atom_site_label
_atom_site_fract_x
_atom_site_fract_y
_atom_site_fract_z
Sr1 0.000 0.000 0.000
Li1 0.203 0.304 0.306
Li2 0.494 0.695 0.305
```

=====

3.
Density functional theory data (PBE) for a relaxed structure of K2Sr3F8.

- Total moment: 0.181 μB per formula unit
- Final energy: -67.105 eV per cell

Structure (CIF):
```
data_K2Sr3F8
_chemical_formula_sum 'K2 Sr3 F8'
_cell_length_a 8.005
_cell_length_b 4.108
_cell_length_c 8.022
_cell_angle_alpha 90.00
_cell_angle_beta 107.91
_cell_angle_gamma 90.00
_symmetry_space_group_name_H-M 'P 1 2/m 1'
_symmetry_Int_Tables_number 10
_symmetry_space_group_name_Hall '-P 2y'
loop_
_atom_site_label
_atom_site_fract_x
_atom_site_fract_y
_atom_site_fract_z
K1 0.237 0.000 0.263
Sr1 0.205 0.500 0.704
Sr2 0.500 0.000 0.000
F1 0.110 0.500 0.390
F2 0.165 0.000 0.871
F3 0.371 0.000 0.665
F4 0.396 0.500 0.105
```

=====

4.
Density functional theory data (PBE) for a relaxed structure of Tb2CeTm5.

- Energy relative to the elements: 0.042 eV/atom
- Total moment: 1.028 μB per formula unit
- Final energy: -74.439 eV per cell

Structure (CIF):
```
data_Tb2CeTm5
_chemical_formula_sum 'Tb4 Ce2 Tm10'
_cell_length_a 7.016
_cell_length_b 14.044
_cell_length_c 4.965
_cell_angle_alpha 90.00
_cell_angle_beta 90.00
_cell_angle_gamma 90.00
_symmetry_space_group_name_H-M 'P b a m'
_symmetry_Int_Tables_number 55
_symmetry_space_group_name_Hall '-P 2 2ab'
loop_
_atom_site_label
_atom_site_fract_x
_atom_site_fract_y
_atom_site_fract_z
Tb1 0.248 0.124 0.000
Ce1 0.000 0.000 0.500
Tm1 0.000 0.500 0.500
Tm2 0.002 0.250 0.500
Tm3 0.245 0.876 0.000
```

=====

5.
Density functional theory data (PBE) for a relaxed structure of Cs2PbBr6F.

- Total moment: 0.003 μB per formula unit
- Final energy: -54.702 eV per cell

Structure (CIF):
```
data_Cs2PbBr6F
_chemical_formula_sum 'Cs4 Pb2 Br12 F2'
_cell_length_a 7.572
_cell_length_b 7.572
_cell_length_c 12.479
_cell_angle_alpha 90.00
_cell_angle_beta 90.00
_cell_angle_gamma 90.00
_symmetry_space_group_name_H-M 'I 4/m m m'
_symmetry_Int_Tables_number 139
_symmetry_space_group_name_Hall '-I 4 2'
loop_
_atom_site_label
_atom_site_fract_x
_atom_site_fract_y
_atom_site_fract_z
Cs1 0.000 0.500 0.250
Pb1 0.000 0.000 0.000
Br1 0.000 0.000 0.226
Br2 0.243 0.243 0.500
F1 0.000 0.000 0.500
```

=====

6.
Density functional theory data (PBE) for a relaxed structure of Nd2Dy4Y.

- Energy relative to the elements: 0.666 eV/atom
- Total moment: 0.442 μB per formula unit
- Final energy: -59.489 eV per cell

Structure (CIF):
```
data_Nd2Dy4Y
_chemical_formula_sum 'Nd4 Dy8 Y2'
_cell_length_a 5.532
_cell_length_b 5.532
_cell_length_c 17.244
_cell_angle_alpha 90.00
_cell_angle_beta 90.00
_cell_angle_gamma 90.00
_symmetry_space_group_name_H-M 'I 4/m m m'
_symmetry_Int_Tables_number 139
_symmetry_space_group_name_Hall '-I 4 2'
loop_
_atom_site_label
_atom_site_fract_x
_atom_site_fract_y
_atom_site_fract_z
Nd1 0.000 0.000 0.123
Dy1 0.000 0.000 0.323
Dy2 0.000 0.500 0.000
Y1 0.000 0.000 0.500
```

=====

7.
Density functional theory data (PBE) for a relaxed structure of LaReO2F.

- Total moment: 5.516 μB per formula unit
- Final energy: -33.163 eV per cell

Structure (CIF):
```
data_LaReO2F
_chemical_formula_sum 'La1 Re1 O2 F1'
_cell_length_a 4.644
_cell_length_b 4.644
_cell_length_c 4.561
_cell_angle_alpha 90.00
_cell_angle_beta 90.00
_cell_angle_gamma 90.00
_symmetry_space_group_name_H-M 'P 4/m m m'
_symmetry_Int_Tables_number 123
_symmetry_space_group_name_Hall '-P 4 2'
loop_
_atom_site_label
_atom_site_fract_x
_atom_site_fract_y
_atom_site_fract_z
La1 0.000 0.000 0.000
Re1 0.500 0.500 0.500
O1 0.000 0.500 0.000
F1 0.000 0.000 0.500
```

=====

8.
Density functional theory data (PBE) for a relaxed structure of Al2Re2Tc.

- Energy relative to the elements: 0.145 eV/atom
- Total moment: 0.000 μB per formula unit
- Final energy: -84.046 eV per cell

Structure (CIF):
```
data_Al2Re2Tc
_chemical_formula_sum 'Al4 Re4 Tc2'
_cell_length_a 6.751
_cell_length_b 6.751
_cell_length_c 3.185
_cell_angle_alpha 90.00
_cell_angle_beta 90.00
_cell_angle_gamma 90.00
_symmetry_space_group_name_H-M 'P 4/m b m'
_symmetry_Int_Tables_number 127
_symmetry_space_group_name_Hall '-P 4 2ab'
loop_
_atom_site_label
_atom_site_fract_x
_atom_site_fract_y
_atom_site_fract_z
Al1 0.135 0.365 0.000
Re1 0.163 0.663 0.500
Tc1 0.000 0.000 0.000
```

=====

9.
Density functional theory data (PBE) for a relaxed structure of Th4Pd3Ru.

- Energy relative to the elements: -0.714 eV/atom
- Total moment: 0.000 μB per formula unit
- Final energy: -60.242 eV per cell

Structure (CIF):
```
data_Th4Pd3Ru
_chemical_formula_sum 'Th4 Pd3 Ru1'
_cell_length_a 3.894
_cell_length_b 4.477
_cell_length_c 11.169
_cell_angle_alpha 90.00
_cell_angle_beta 90.00
_cell_angle_gamma 90.00
_symmetry_space_group_name_H-M 'P m m 2'
_symmetry_Int_Tables_number 25
_symmetry_space_group_name_Hall 'P 2 -2'
loop_
_atom_site_label
_atom_site_fract_x
_atom_site_fract_y
_atom_site_fract_z
Th1 0.000 0.000 0.000
Th2 0.000 0.500 0.263
Th3 0.500 0.000 0.477
Th4 0.500 0.500 0.759
Pd1 0.000 0.000 0.721
Pd2 0.000 0.500 0.538
Pd3 0.500 0.500 0.031
Ru1 0.500 0.000 0.228
```

=====

10.
Density functional theory data (PBE) for a relaxed structure of MnFeRhW.

- Energy relative to the elements: 0.060 eV/atom
- Total moment: 5.474 μB per formula unit
- Final energy: -150.794 eV per cell

Structure (CIF):
```
data_MnFeRhW
_chemical_formula_sum 'Mn4 Fe4 Rh4 W4'
_cell_length_a 6.043
_cell_length_b 6.043
_cell_length_c 6.043
_cell_angle_alpha 90.00
_cell_angle_beta 90.00
_cell_angle_gamma 90.00
_symmetry_space_group_name_H-M 'F -4 3 m'
_symmetry_Int_Tables_number 216
_symmetry_space_group_name_Hall 'F -4 2 3'
loop_
_atom_site_label
_atom_site_fract_x
_atom_site_fract_y
_atom_site_fract_z
Mn1 0.000 0.000 0.000
Fe1 0.250 0.250 0.750
Rh1 0.250 0.250 0.250
W1 0.000 0.000 0.500
```

=====

11.
Density functional theory data (PBE) for a relaxed structure of Cs2ZnI2.

- Total moment: 0.000 μB per formula unit
- Final energy: -21.443 eV per cell

Structure (CIF):
```
data_Cs2ZnI2
_chemical_formula_sum 'Cs4 Zn2 I4'
_cell_length_a 7.497
_cell_length_b 7.497
_cell_length_c 13.975
_cell_angle_alpha 90.00
_cell_angle_beta 90.00
_cell_angle_gamma 90.00
_symmetry_space_group_name_H-M 'I 4/m m m'
_symmetry_Int_Tables_number 139
_symmetry_space_group_name_Hall '-I 4 2'
loop_
_atom_site_label
_atom_site_fract_x
_atom_site_fract_y
_atom_site_fract_z
Cs1 0.000 0.500 0.250
Zn1 0.000 0.000 0.000
I1 0.000 0.000 0.292
```

=====

12.
Density functional theory data (PBE) for a relaxed structure of BeTlPd2Cl.

- Total moment: 0.000 μB per formula unit
- Final energy: -16.061 eV per cell

Structure (CIF):
```
data_BeTlPd2Cl
_chemical_formula_sum 'Be1 Tl1 Pd2 Cl1'
_cell_length_a 4.876
_cell_length_b 4.876
_cell_length_c 3.996
_cell_angle_alpha 90.00
_cell_angle_beta 90.00
_cell_angle_gamma 90.00
_symmetry_space_group_name_H-M 'P 4/m m m'
_symmetry_Int_Tables_number 123
_symmetry_space_group_name_Hall '-P 4 2'
loop_
_atom_site_label
_atom_site_fract_x
_atom_site_fract_y
_atom_site_fract_z
Be1 0.000 0.000 0.000
Tl1 0.500 0.500 0.000
Pd1 0.000 0.500 0.500
Cl1 0.000 0.000 0.500
```

=====

Question: total moment of number 1 (TbYPu)?
Answer: 6.589 μB per formula unit

=====

Question: Which formula does entry 11 have?
Answer: Cs2ZnI2